Compound: SnBr4N2
Source: the Alexandria database
Functional: PBE
Structure: optimized geometry

Calculated values
E_tot = -3.015 eV/atom
total magnetization = 0.00 μB/cell
raw formation energy = 0.891 eV/atom

abc: 18.4701 3.6721 6.8189
angles: 90.00 109.26 90.00
With the nearest neighbours (Å) after each atom.
Space group C2/m (No. 12)
One atom of each set of equivalent atoms:
Sn (0.0000, 0.0000, 0.0000) (multiplicity 2)  6 Br 2.83-3.09
Br (0.0728, 0.5000, 0.8093) (multiplicity 4)  2 Sn 2.83, 1 N 2.97
Br (0.1446, 0.0000, 0.3918) (multiplicity 4)  2 N 1.98
N (0.1569, 0.5000, 0.5065) (multiplicity 4)  2 Br 1.98